A plane-wave DFT calculation with PBE was carried out for PmH2I2 after structural relaxation.

Calculated values
For the relative energy among the computed polymorphs, the calculation gives 144 meV/atom. The calculation puts the final energy at -3.48 eV per atom.

Unit cell a=4.0025 b=4.0025 c=9.4050 alpha=91.31 beta=91.31 gamma=52.59
Element x y z (fractional)
Pm (0.0000, 0.0000, 0.0000)
H (0.3198, 0.3198, 0.0409)
H (0.6802, 0.6802, 0.9591)
I (0.3400, 0.3400, 0.7136)
I (0.6600, 0.6600, 0.2864)

=====

A plane-wave DFT calculation with PBE was carried out for SmHo2I8 after structural relaxation.

Calculated values
The value obtained for the energy relative to the elements, uncorrected is -1.22 eV/atom. The calculation puts the final energy at -3.60 eV per atom.

Unit cell a=9.5595 b=9.5595 c=7.3279 alpha=90.63 beta=90.63 gamma=65.32
Element x y z (fractional)
Sm (0.0000, 0.0000, 0.0000)
Ho (0.1683, 0.1683, 0.6334)
Ho (0.8317, 0.8317, 0.3666)
I (0.1485, 0.7020, 0.2400)
I (0.1685, 0.1685, 0.2315)
I (0.2980, 0.8515, 0.7600)
I (0.3373, 0.3373, 0.7365)
I (0.6627, 0.6627, 0.2635)
I (0.7020, 0.1485, 0.2400)
I (0.8315, 0.8315, 0.7685)
I (0.8515, 0.2980, 0.7600)

=====

A plane-wave DFT calculation with PBE was carried out for Tb4PmIn2 after structural relaxation.

Calculated values
For the relative energy among the computed polymorphs, the calculation gives 0 meV/atom. The calculation puts the final energy at -4.22 eV per atom.

Unit cell a=8.0303 b=6.8408 c=6.4205 alpha=74.46 beta=55.16 gamma=50.38
Element x y z (fractional)
Tb (0.1672, 0.8328, 0.1672)
Tb (0.2500, 0.2500, 0.2500)
Tb (0.7500, 0.7500, 0.7500)
Tb (0.8328, 0.1672, 0.8328)
Pm (0.5000, 0.5000, 0.5000)
In (0.2234, 0.2234, 0.7766)
In (0.7766, 0.7766, 0.2234)

=====

Density of states at the Fermi level in states/eV per atom, matching the order above: 0.416 0.030 1.608